1) VASP calculation (PBE-GGA) on a relaxed structure of CsRuRh.

Cell: 8.5350 4.2481 10.1403 Å, 90.00 90.00 90.00°
Fractional positions:
Cs: 0.0031 0.2500 0.1803
Cs: 0.4969 0.7500 0.6803
Cs: 0.5031 0.2500 0.3197
Cs: 0.9969 0.7500 0.8197
Ru: 0.1384 0.7500 0.4449
Ru: 0.3616 0.2500 0.9449
Ru: 0.6384 0.7500 0.0551
Ru: 0.8616 0.2500 0.5551
Rh: 0.1412 0.2500 0.5518
Rh: 0.3588 0.7500 0.0518
Rh: 0.6412 0.2500 0.9482
Rh: 0.8588 0.7500 0.4482

Summary:
- density of states at the Fermi level (states/eV per cell) = 13.5
- SG = Pnma, No. 62

2) VASP calculation (PBE-GGA) on a relaxed structure of CsRuRh.

Cell: 4.3915 4.2085 10.3663 Å, 90.00 93.42 90.00°
Fractional positions:
Cs: 0.2292 0.2500 0.3086
Cs: 0.7708 0.7500 0.6914
Ru: 0.1689 0.7500 0.0047
Ru: 0.8311 0.2500 0.9953
Rh: 0.3395 0.2500 0.8864
Rh: 0.6605 0.7500 0.1136

Summary:
- density of states at the Fermi level (states/eV per cell) = 5.9
- SG = P2_1/m, No. 11

Of them, 1) has the lowest stability.

1) VASP calculation (PBE-GGA) on a relaxed structure of CsRu3Rh.

Cell: 4.8952 4.8952 4.8952 Å, 90.00 90.00 90.00°
Fractional positions:
Cs: 0.0000 0.0000 0.0000
Ru: 0.0000 0.5000 0.5000
Ru: 0.5000 0.0000 0.5000
Ru: 0.5000 0.5000 0.0000
Rh: 0.5000 0.5000 0.5000

Summary:
- density of states at the Fermi level (states/eV per cell) = 15.7
- SG = Pm-3m, No. 221

2) VASP calculation (PBE-GGA) on a relaxed structure of CsRu3Rh.

Cell: 4.8492 4.8492 4.8492 Å, 90.00 90.00 90.00°
Fractional positions:
Cs: 0.0000 0.0000 0.0000
Ru: 0.0000 0.0000 0.5000
Ru: 0.0000 0.5000 0.0000
Ru: 0.5000 0.0000 0.0000
Rh: 0.5000 0.5000 0.5000

Summary:
- density of states at the Fermi level (states/eV per cell) = 6.2
- SG = Pm-3m, No. 221

Of them, 2) has the lowest stability.

1) VASP calculation (PBE-GGA) on a relaxed structure of Cs2RhS.

Cell: 5.7351 5.7351 5.7351 Å, 60.00 60.00 60.00°
Fractional positions:
Cs: 0.2500 0.2500 0.2500
Cs: 0.7500 0.7500 0.7500
Rh: 0.0000 0.0000 0.0000
S: 0.5000 0.5000 0.5000

Summary:
- density of states at the Fermi level (states/eV per cell) = 4.9
- SG = Fm-3m, No. 225

2) VASP calculation (PBE-GGA) on a relaxed structure of Cs2RhS.

Cell: 9.1360 9.1360 9.1360 Å, 93.38 93.38 151.90°
Fractional positions:
Cs: 0.3750 0.2101 0.3351
Cs: 0.7899 0.1250 0.1649
Cs: 0.8750 0.0399 0.6649
Cs: 0.9601 0.6250 0.8351
Rh: 0.0000 0.0000 0.0000
Rh: 0.7500 0.2500 0.5000
S: 0.2500 0.7500 0.5000
S: 0.5000 0.5000 0.0000

Summary:
- density of states at the Fermi level (states/eV per cell) = 4.7
- SG = I-42d, No. 122

Of them, 1) has the lowest stability.

1) VASP calculation (PBE-GGA) on a relaxed structure of CsSbRh2.

Cell: 6.6902 6.6902 6.6902 Å, 108.51 108.51 111.41°
Fractional positions:
Cs: 0.0000 0.0000 0.0000
Cs: 0.7500 0.2500 0.5000
Sb: 0.2500 0.7500 0.5000
Sb: 0.5000 0.5000 0.0000
Rh: 0.2168 0.6250 0.0918
Rh: 0.3750 0.4668 0.5918
Rh: 0.5332 0.1250 0.9082
Rh: 0.8750 0.7832 0.4082

Summary:
- density of states at the Fermi level (states/eV per cell) = 2.0
- SG = I-42d, No. 122

2) VASP calculation (PBE-GGA) on a relaxed structure of CsSbRh2.

Cell: 4.9451 4.9451 4.9451 Å, 60.00 60.00 60.00°
Fractional positions:
Cs: 0.0000 0.0000 0.0000
Sb: 0.5000 0.5000 0.5000
Rh: 0.2500 0.2500 0.2500
Rh: 0.7500 0.7500 0.7500

Summary:
- density of states at the Fermi level (states/eV per cell) = 1.3
- SG = Fm-3m, No. 225

Of them, 2) has the lowest stability.